Density functional theory data (GGA+U) for a geometry-optimized Y2MnNiO6 structure.

Lattice parameters (Å, degrees): 5.2828 5.6041 9.2130 90.00 124.59 90.00
Closest atoms and distances in Å follow each position.
Fractional positions:
Y 0.2295 0.0707 0.2487  6 O 2.25-2.50
Y 0.2295 0.4293 0.7487  6 O 2.25-2.50
Y 0.7705 0.5707 0.2513  6 O 2.25-2.50
Y 0.7705 0.9293 0.7513  6 O 2.25-2.50
Mn 0.5000 0.0000 0.0000  6 O 1.93-1.96
Mn 0.5000 0.5000 0.5000  6 O 1.93-1.96
Ni 0.0000 0.0000 0.5000  6 O 2.05-2.08
Ni 0.0000 0.5000 0.0000  6 O 2.05-2.08
O 0.1494 0.1882 0.9475  1 Mn 1.94, 1 Ni 2.08
O 0.1494 0.3118 0.4475  1 Mn 1.94, 1 Ni 2.08
O 0.2586 0.7071 0.9425  1 Mn 1.96, 1 Ni 2.08
O 0.2586 0.7929 0.4425  1 Mn 1.96, 1 Ni 2.08
O 0.3655 0.0371 0.7575  1 Mn 1.93, 1 Ni 2.05
O 0.3655 0.4629 0.2575  1 Mn 1.93, 1 Ni 2.05
O 0.6345 0.5371 0.7425  1 Mn 1.93, 1 Ni 2.05
O 0.6345 0.9629 0.2425  1 Mn 1.93, 1 Ni 2.05
O 0.7414 0.2071 0.5575  1 Mn 1.96, 1 Ni 2.08
O 0.7414 0.2929 0.0575  1 Mn 1.96, 1 Ni 2.08
O 0.8506 0.6882 0.5525  1 Mn 1.94, 1 Ni 2.08
O 0.8506 0.8118 0.0525  1 Mn 1.94, 1 Ni 2.08

Properties
final energy: -7.73 eV per atom
SG: P2_1/c, No. 14
calculated density: 5.730 g/cm³